The following is a PBE calculation of a relaxed structure of K5Rb2HgAu2, from Alexandria via LeMat-Bulk.

Results
Formation energy from the elements ... -0.16 eV per atom
D(E_F) ... 6.24 states/eV/f.u.
E_tot ... -0.11663 Ry per atom

Geometry as CIF:
```
data_K5Rb2HgAu2
_chemical_formula_sum 'K10 Rb4 Hg2 Au4'
_space_group_name_H-M_alt 'P 4/m b m'
_space_group_IT_number 127
_space_group_name_Hall '-P 4 2ab'
_cell_length_a 14.004
_cell_length_b 14.004
_cell_length_c 4.811
_cell_angle_alpha 90.00
_cell_angle_beta 90.00
_cell_angle_gamma 90.00
loop_
_atom_site_label
_atom_site_fract_x
_atom_site_fract_y
_atom_site_fract_z
K1 0.000 0.500 0.000
K2 0.067 0.206 0.000
Rb1 0.175 0.675 0.500
Hg1 0.000 0.000 0.500
Au1 0.123 0.377 0.500
```